Record 1
## Al2CrCl2 (GGA-PBE)

Data for Al2CrCl2 after structural relaxation.

Structure (POSCAR):
```
Al2CrCl2
1.0
4.1781 0.0000 0.0000
0.0000 4.1781 0.0000
0.0000 0.0000 12.1964
Al Cr Cl
4 2 4
Direct
0.0000 0.0000 0.1098 Al
0.0000 0.0000 0.8902 Al
0.5000 0.5000 0.3902 Al
0.5000 0.5000 0.6098 Al
0.0000 0.0000 0.5000 Cr
0.5000 0.5000 0.0000 Cr
0.0000 0.5000 0.2500 Cl
0.0000 0.5000 0.7500 Cl
0.5000 0.0000 0.2500 Cl
0.5000 0.0000 0.7500 Cl
```

**Total magnetic moment**: 8.56 μB/cell
**Symmetry**: No. 139
**Raw total energy**: -3.875 eV/atom

---

Record 2
## Al2CrCl (GGA-PBE)

Data for Al2CrCl after structural relaxation.

Structure (POSCAR):
```
Al2CrCl
1.0
3.9491 0.0000 0.0000
0.0000 3.9491 0.0000
0.0000 0.0000 9.4705
Al Cr Cl
4 2 2
Direct
0.0000 0.5000 0.2500 Al
0.0000 0.5000 0.7500 Al
0.5000 0.0000 0.2500 Al
0.5000 0.0000 0.7500 Al
0.0000 0.0000 0.0000 Cr
0.5000 0.5000 0.5000 Cr
0.0000 0.0000 0.5000 Cl
0.5000 0.5000 0.0000 Cl
```

**Total magnetic moment**: 8.36 μB/cell
**Symmetry**: No. 139
**Raw total energy**: -4.419 eV/atom

---

Record 3
## Al2CrCl (GGA-PBE)

Data for Al2CrCl after structural relaxation.

Structure (POSCAR):
```
Al2CrCl
1.0
3.0391 0.0000 0.0000
-1.5196 2.6320 0.0000
0.0000 0.0000 23.7634
Al Cr Cl
6 3 3
Direct
0.0000 0.0000 0.2440 Al
0.0000 0.0000 0.7560 Al
0.3333 0.6667 0.4227 Al
0.3333 0.6667 0.9106 Al
0.6667 0.3333 0.0894 Al
0.6667 0.3333 0.5773 Al
0.0000 0.0000 0.5000 Cr
0.3333 0.6667 0.1667 Cr
0.6667 0.3333 0.8333 Cr
0.0000 0.0000 0.0000 Cl
0.3333 0.6667 0.6667 Cl
0.6667 0.3333 0.3333 Cl
```

**Total magnetic moment**: 4.56 μB/cell
**Symmetry**: No. 166
**Raw total energy**: -4.819 eV/atom

---

Record 4
## Al2CrCl (GGA-PBE)

Data for Al2CrCl after structural relaxation.

Structure (POSCAR):
```
Al2CrCl
1.0
2.8877 0.0000 0.0000
0.0000 4.9454 0.0000
0.0000 0.0000 9.8128
Al Cr Cl
4 2 2
Direct
0.0000 0.0000 0.0000 Al
0.0000 0.5000 0.2254 Al
0.5000 0.0000 0.7254 Al
0.5000 0.5000 0.5000 Al
0.0000 0.0000 0.5035 Cr
0.5000 0.5000 0.0035 Cr
0.0000 0.5000 0.8042 Cl
0.5000 0.0000 0.3042 Cl
```

**Total magnetic moment**: 6.10 μB/cell
**Symmetry**: No. 44
**Raw total energy**: -4.636 eV/atom

---

Record 5
## AlCrCl (GGA-PBE)

Data for AlCrCl after structural relaxation.

Structure (POSCAR):
```
AlCrCl
1.0
3.0423 0.0000 0.0000
0.0000 5.5277 0.0000
0.0000 0.0000 14.8866
Al Cr Cl
4 4 4
Direct
0.0000 0.0000 0.0000 Al
0.0000 0.5000 0.5000 Al
0.5000 0.0000 0.5000 Al
0.5000 0.5000 0.0000 Al
0.0000 0.0000 0.3543 Cr
0.0000 0.5000 0.8543 Cr
0.5000 0.0000 0.8543 Cr
0.5000 0.5000 0.3543 Cr
0.0000 0.0000 0.7372 Cl
0.0000 0.5000 0.2372 Cl
0.5000 0.0000 0.2372 Cl
0.5000 0.5000 0.7372 Cl
```

**Total magnetic moment**: 14.03 μB/cell
**Symmetry**: No. 42
**Raw total energy**: -4.923 eV/atom

---

Record 6
## Al2CrCl (GGA-PBE)

Data for Al2CrCl after structural relaxation.

Structure (POSCAR):
```
Al2CrCl
1.0
2.9081 0.0000 0.0000
0.0000 2.9081 0.0000
0.0000 0.0000 8.6359
Al Cr Cl
2 1 1
Direct
0.0000 0.0000 0.0000 Al
0.5000 0.5000 0.2389 Al
0.5000 0.5000 0.7969 Cr
0.0000 0.0000 0.6236 Cl
```

**Total magnetic moment**: 2.50 μB/cell
**Symmetry**: No. 99
**Raw total energy**: -4.669 eV/atom

---

Record 7
## Al2CrCl (GGA-PBE)

Data for Al2CrCl after structural relaxation.

Structure (POSCAR):
```
Al2CrCl
1.0
2.9190 0.0000 0.0000
-1.4595 2.5280 0.0000
0.0000 0.0000 29.9510
Al Cr Cl
6 3 3
Direct
0.0000 0.0000 0.0000 Al
0.0000 0.0000 0.2560 Al
0.3333 0.6667 0.6667 Al
0.3333 0.6667 0.9226 Al
0.6667 0.3333 0.3333 Al
0.6667 0.3333 0.5893 Al
0.0000 0.0000 0.5211 Cr
0.3333 0.6667 0.1877 Cr
0.6667 0.3333 0.8544 Cr
0.0000 0.0000 0.8031 Cl
0.3333 0.6667 0.4698 Cl
0.6667 0.3333 0.1364 Cl
```

**Total magnetic moment**: 2.83 μB/cell
**Symmetry**: No. 160
**Raw total energy**: -4.810 eV/atom

---

Record 8
## AlCrCl (GGA-PBE)

Data for AlCrCl after structural relaxation.

Structure (POSCAR):
```
AlCrCl
1.0
2.9628 0.0000 0.0000
-1.4814 2.5658 0.0000
0.0000 0.0000 7.3553
Al Cr Cl
1 1 1
Direct
0.0000 0.0000 0.0000 Al
0.3333 0.6667 0.7206 Cr
0.6667 0.3333 0.5096 Cl
```

**Total magnetic moment**: 1.90 μB/cell
**Symmetry**: No. 156
**Raw total energy**: -5.061 eV/atom

---

Q: Which formation energy without anion corrections values were calculated for the entries above? A: 0.286; 0.320; -0.080; 0.102; 0.148; 0.070; -0.071; 0.009, in eV per atom.